Record 1
Below is a relaxed structure of Cd4NiF10, with properties calculated at the GGA+U level.

Its space-group type is R-3m, No. 166. The density of states at the Fermi level comes out at 2.40 states/eV/f.u. The final energy comes out at -55.8 eV/f.u.

Unit cell a=15.516 b=15.516 c=15.516 alpha=14.24 beta=14.24 gamma=14.24
Element x y z (fractional)
Cd  0.104  0.104  0.104
Cd  0.299  0.299  0.299
Cd  0.701  0.701  0.701
Cd  0.896  0.896  0.896
Ni  0.500  0.500  0.500
F  0.052  0.052  0.052
F  0.154  0.154  0.154
F  0.247  0.247  0.247
F  0.351  0.351  0.351
F  0.456  0.456  0.456
F  0.544  0.544  0.544
F  0.649  0.649  0.649
F  0.753  0.753  0.753
F  0.846  0.846  0.846
F  0.948  0.948  0.948

Record 2
Below is a relaxed structure of Cd4Ni6F19, with properties calculated at the GGA+U level.

Its space-group type is I23, No. 197. The density of states at the Fermi level comes out at 2.52 states/eV/f.u. The final energy comes out at -114.4 eV/f.u.

Unit cell a=7.966 b=7.966 c=7.966 alpha=109.47 beta=109.47 gamma=109.47
Element x y z (fractional)
Cd  0.000  0.000  0.297
Cd  0.000  0.297  0.000
Cd  0.297  0.000  0.000
Cd  0.703  0.703  0.703
Ni  0.161  0.500  0.661
Ni  0.339  0.839  0.500
Ni  0.500  0.339  0.839
Ni  0.500  0.661  0.161
Ni  0.661  0.161  0.500
Ni  0.839  0.500  0.339
F  0.000  0.000  0.000
F  0.000  0.344  0.344
F  0.000  0.656  0.656
F  0.038  0.750  0.361
F  0.250  0.287  0.610
F  0.287  0.610  0.250
F  0.323  0.713  0.962
F  0.344  0.000  0.344
F  0.344  0.344  0.000
F  0.361  0.038  0.750
F  0.390  0.677  0.639
F  0.610  0.250  0.287
F  0.639  0.390  0.677
F  0.656  0.000  0.656
F  0.656  0.656  0.000
F  0.677  0.639  0.390
F  0.713  0.962  0.323
F  0.750  0.361  0.038
F  0.962  0.323  0.713